Entry A
Below is a geometry-optimized HfI2O2 structure, with properties calculated at the PBE level.

Properties
The density of states at the Fermi level is 2.4 states/eV/f.u. As for the crystal system: tetragonal.

CIF file:
```
data_HfI2O2
_cell_length_a 4.2020
_cell_length_b 4.2020
_cell_length_c 6.3309
_cell_angle_alpha 90.00
_cell_angle_beta 90.00
_cell_angle_gamma 90.00
_space_group_name_H-M_alt 'P 4/m m m'
_space_group_IT_number 123
_space_group_name_Hall '-P 4 2'
loop_
_atom_site_label
_atom_site_fract_x
_atom_site_fract_y
_atom_site_fract_z
Hf1 0.0000 0.0000 0.0000
I1 0.0000 0.0000 0.5000
I2 0.5000 0.5000 0.5000
O1 0.0000 0.5000 0.0000
```

Entry B
Below is a geometry-optimized HfI2O2 structure, with properties calculated at the PBE level.

Properties
The density of states at the Fermi level is 5.2 states/eV/f.u. As for the crystal system: tetragonal.

CIF file:
```
data_HfI2O2
_cell_length_a 4.1218
_cell_length_b 4.1218
_cell_length_c 7.4152
_cell_angle_alpha 90.00
_cell_angle_beta 90.00
_cell_angle_gamma 90.00
_space_group_name_H-M_alt 'P 4/m m m'
_space_group_IT_number 123
_space_group_name_Hall '-P 4 2'
loop_
_atom_site_label
_atom_site_fract_x
_atom_site_fract_y
_atom_site_fract_z
Hf1 0.0000 0.0000 0.0000
I1 0.5000 0.5000 0.0000
I2 0.5000 0.5000 0.5000
O1 0.0000 0.5000 0.5000
```

Energies in meV per atom, measured from the most stable structure: entry A 0; entry B 1746.

Entry A
Below is a geometry-optimized HfI2O2 structure, with properties calculated at the PBE level.

Properties
The density of states at the Fermi level is 4.5 states/eV/f.u. As for the crystal system: tetragonal.

CIF file:
```
data_HfI2O2
_cell_length_a 4.8949
_cell_length_b 4.8949
_cell_length_c 3.8710
_cell_angle_alpha 90.00
_cell_angle_beta 90.00
_cell_angle_gamma 90.00
_space_group_name_H-M_alt 'P 4/m m m'
_space_group_IT_number 123
_space_group_name_Hall '-P 4 2'
loop_
_atom_site_label
_atom_site_fract_x
_atom_site_fract_y
_atom_site_fract_z
Hf1 0.0000 0.0000 0.0000
I1 0.0000 0.5000 0.5000
O1 0.5000 0.5000 0.0000
O2 0.5000 0.5000 0.5000
```

Entry B
Below is a geometry-optimized HfI2O2 structure, with properties calculated at the PBE level.

Properties
The density of states at the Fermi level is 3.8 states/eV/f.u. As for the crystal system: tetragonal.

CIF file:
```
data_HfI2O2
_cell_length_a 5.7779
_cell_length_b 5.7779
_cell_length_c 3.9561
_cell_angle_alpha 90.00
_cell_angle_beta 90.00
_cell_angle_gamma 90.00
_space_group_name_H-M_alt 'P 4/m m m'
_space_group_IT_number 123
_space_group_name_Hall '-P 4 2'
loop_
_atom_site_label
_atom_site_fract_x
_atom_site_fract_y
_atom_site_fract_z
Hf1 0.0000 0.0000 0.0000
I1 0.0000 0.5000 0.0000
O1 0.0000 0.0000 0.5000
O2 0.5000 0.5000 0.5000
```

Energies in meV per atom, measured from the most stable structure: entry A 1308; entry B 0.

Entry A
Below is a geometry-optimized HfP2IO structure, with properties calculated at the PBE level.

Properties
The density of states at the Fermi level is 2.7 states/eV/f.u. As for the crystal system: tetragonal.

CIF file:
```
data_HfP2IO
_cell_length_a 5.2359
_cell_length_b 5.2359
_cell_length_c 3.9722
_cell_angle_alpha 90.00
_cell_angle_beta 90.00
_cell_angle_gamma 90.00
_space_group_name_H-M_alt 'P 4/m m m'
_space_group_IT_number 123
_space_group_name_Hall '-P 4 2'
loop_
_atom_site_label
_atom_site_fract_x
_atom_site_fract_y
_atom_site_fract_z
Hf1 0.0000 0.0000 0.0000
P1 0.0000 0.5000 0.0000
I1 0.5000 0.5000 0.5000
O1 0.0000 0.0000 0.5000
```

Entry B
Below is a geometry-optimized HfP2IO structure, with properties calculated at the PBE level.

Properties
The density of states at the Fermi level is 4.3 states/eV/f.u. As for the crystal system: tetragonal.

CIF file:
```
data_HfP2IO
_cell_length_a 5.0571
_cell_length_b 5.0571
_cell_length_c 3.8823
_cell_angle_alpha 90.00
_cell_angle_beta 90.00
_cell_angle_gamma 90.00
_space_group_name_H-M_alt 'P 4/m m m'
_space_group_IT_number 123
_space_group_name_Hall '-P 4 2'
loop_
_atom_site_label
_atom_site_fract_x
_atom_site_fract_y
_atom_site_fract_z
Hf1 0.0000 0.0000 0.0000
P1 0.0000 0.5000 0.5000
I1 0.5000 0.5000 0.5000
O1 0.5000 0.5000 0.0000
```

Energies in meV per atom, measured from the most stable structure: entry A 0; entry B 1132.

Entry A
Below is a geometry-optimized HfPbIO2 structure, with properties calculated at the PBE level.

Properties
The density of states at the Fermi level is 2.6 states/eV/f.u. As for the crystal system: tetragonal.

CIF file:
```
data_HfPbIO2
_cell_length_a 4.3745
_cell_length_b 4.3745
_cell_length_c 5.6606
_cell_angle_alpha 90.00
_cell_angle_beta 90.00
_cell_angle_gamma 90.00
_space_group_name_H-M_alt 'P 4/m m m'
_space_group_IT_number 123
_space_group_name_Hall '-P 4 2'
loop_
_atom_site_label
_atom_site_fract_x
_atom_site_fract_y
_atom_site_fract_z
Hf1 0.0000 0.0000 0.0000
Pb1 0.5000 0.5000 0.5000
I1 0.0000 0.0000 0.5000
O1 0.0000 0.5000 0.0000
```

Entry B
Below is a geometry-optimized HfPbIO2 structure, with properties calculated at the PBE level.

Properties
The density of states at the Fermi level is 5.7 states/eV/f.u. As for the crystal system: tetragonal.

CIF file:
```
data_HfPbIO2
_cell_length_a 4.3919
_cell_length_b 4.3919
_cell_length_c 6.1212
_cell_angle_alpha 90.00
_cell_angle_beta 90.00
_cell_angle_gamma 90.00
_space_group_name_H-M_alt 'P 4/m m m'
_space_group_IT_number 123
_space_group_name_Hall '-P 4 2'
loop_
_atom_site_label
_atom_site_fract_x
_atom_site_fract_y
_atom_site_fract_z
Hf1 0.0000 0.0000 0.0000
Pb1 0.5000 0.5000 0.5000
I1 0.5000 0.5000 0.0000
O1 0.0000 0.5000 0.5000
```

Energies in meV per atom, measured from the most stable structure: entry A 0; entry B 1578.

Entry A
Below is a geometry-optimized RbHfI2O structure, with properties calculated at the PBE level.

Properties
The density of states at the Fermi level is 2.2 states/eV/f.u. As for the crystal system: tetragonal.

CIF file:
```
data_RbHfI2O
_cell_length_a 6.1266
_cell_length_b 6.1266
_cell_length_c 4.0371
_cell_angle_alpha 90.00
_cell_angle_beta 90.00
_cell_angle_gamma 90.00
_space_group_name_H-M_alt 'P 4/m m m'
_space_group_IT_number 123
_space_group_name_Hall '-P 4 2'
loop_
_atom_site_label
_atom_site_fract_x
_atom_site_fract_y
_atom_site_fract_z
Rb1 0.0000 0.0000 0.0000
Hf1 0.5000 0.5000 0.5000
I1 0.0000 0.5000 0.5000
O1 0.5000 0.5000 0.0000
```

Entry B
Below is a geometry-optimized RbHfI2O structure, with properties calculated at the PBE level.

Properties
The density of states at the Fermi level is 5.1 states/eV/f.u. As for the crystal system: tetragonal.

CIF file:
```
data_RbHfI2O
_cell_length_a 6.3351
_cell_length_b 6.3351
_cell_length_c 4.1345
_cell_angle_alpha 90.00
_cell_angle_beta 90.00
_cell_angle_gamma 90.00
_space_group_name_H-M_alt 'P 4/m m m'
_space_group_IT_number 123
_space_group_name_Hall '-P 4 2'
loop_
_atom_site_label
_atom_site_fract_x
_atom_site_fract_y
_atom_site_fract_z
Rb1 0.0000 0.0000 0.0000
Hf1 0.5000 0.5000 0.5000
I1 0.0000 0.5000 0.0000
O1 0.0000 0.0000 0.5000
```

Energies in meV per atom, measured from the most stable structure: entry A 0; entry B 2187.

Entry A
Below is a geometry-optimized RbHfIO2 structure, with properties calculated at the PBE level.

Properties
The density of states at the Fermi level is 7.3 states/eV/f.u. As for the crystal system: tetragonal.

CIF file:
```
data_RbHfIO2
_cell_length_a 4.4650
_cell_length_b 4.4650
_cell_length_c 6.1107
_cell_angle_alpha 90.00
_cell_angle_beta 90.00
_cell_angle_gamma 90.00
_space_group_name_H-M_alt 'P 4/m m m'
_space_group_IT_number 123
_space_group_name_Hall '-P 4 2'
loop_
_atom_site_label
_atom_site_fract_x
_atom_site_fract_y
_atom_site_fract_z
Rb1 0.0000 0.0000 0.0000
Hf1 0.5000 0.5000 0.5000
I1 0.0000 0.0000 0.5000
O1 0.0000 0.5000 0.0000
```

Entry B
Below is a geometry-optimized RbHfIO2 structure, with properties calculated at the PBE level.

Properties
As for the crystal system: tetragonal.

CIF file:
```
data_RbHfIO2
_cell_length_a 4.3131
_cell_length_b 4.3131
_cell_length_c 5.8958
_cell_angle_alpha 90.00
_cell_angle_beta 90.00
_cell_angle_gamma 90.00
_space_group_name_H-M_alt 'P 4/m m m'
_space_group_IT_number 123
_space_group_name_Hall '-P 4 2'
loop_
_atom_site_label
_atom_site_fract_x
_atom_site_fract_y
_atom_site_fract_z
Rb1 0.0000 0.0000 0.0000
Hf1 0.5000 0.5000 0.5000
I1 0.5000 0.5000 0.0000
O1 0.0000 0.5000 0.5000
```

Energies in meV per atom, measured from the most stable structure: entry A 2773; entry B 0.

Entry A
Below is a geometry-optimized HfReIO2 structure, with properties calculated at the PBE level.

Properties
The density of states at the Fermi level is 3.0 states/eV/f.u. As for the crystal system: tetragonal.

CIF file:
```
data_HfReIO2
_cell_length_a 3.8711
_cell_length_b 3.8711
_cell_length_c 6.4427
_cell_angle_alpha 90.00
_cell_angle_beta 90.00
_cell_angle_gamma 90.00
_space_group_name_H-M_alt 'P 4/m m m'
_space_group_IT_number 123
_space_group_name_Hall '-P 4 2'
loop_
_atom_site_label
_atom_site_fract_x
_atom_site_fract_y
_atom_site_fract_z
Hf1 0.0000 0.0000 0.0000
Re1 0.5000 0.5000 0.5000
I1 0.5000 0.5000 0.0000
O1 0.0000 0.5000 0.5000
```

Entry B
Below is a geometry-optimized HfReIO2 structure, with properties calculated at the PBE level.

Properties
The density of states at the Fermi level is 2.5 states/eV/f.u. As for the crystal system: tetragonal.

CIF file:
```
data_HfReIO2
_cell_length_a 4.0342
_cell_length_b 4.0342
_cell_length_c 6.1703
_cell_angle_alpha 90.00
_cell_angle_beta 90.00
_cell_angle_gamma 90.00
_space_group_name_H-M_alt 'P 4/m m m'
_space_group_IT_number 123
_space_group_name_Hall '-P 4 2'
loop_
_atom_site_label
_atom_site_fract_x
_atom_site_fract_y
_atom_site_fract_z
Hf1 0.0000 0.0000 0.0000
Re1 0.5000 0.5000 0.5000
I1 0.0000 0.0000 0.5000
O1 0.0000 0.5000 0.0000
```

Energies in meV per atom, measured from the most stable structure: entry A 488; entry B 0.

Entry A
Below is a geometry-optimized HfRuIO2 structure, with properties calculated at the PBE level.

Properties
The density of states at the Fermi level is 4.2 states/eV/f.u. As for the crystal system: tetragonal.

CIF file:
```
data_HfRuIO2
_cell_length_a 4.0286
_cell_length_b 4.0286
_cell_length_c 5.3151
_cell_angle_alpha 90.00
_cell_angle_beta 90.00
_cell_angle_gamma 90.00
_space_group_name_H-M_alt 'P 4/m m m'
_space_group_IT_number 123
_space_group_name_Hall '-P 4 2'
loop_
_atom_site_label
_atom_site_fract_x
_atom_site_fract_y
_atom_site_fract_z
Hf1 0.0000 0.0000 0.0000
Ru1 0.5000 0.5000 0.5000
I1 0.5000 0.5000 0.0000
O1 0.0000 0.5000 0.5000
```

Entry B
Below is a geometry-optimized HfRuIO2 structure, with properties calculated at the PBE level.

Properties
The density of states at the Fermi level is 6.3 states/eV/f.u. As for the crystal system: tetragonal.

CIF file:
```
data_HfRuIO2
_cell_length_a 4.0024
_cell_length_b 4.0024
_cell_length_c 6.2346
_cell_angle_alpha 90.00
_cell_angle_beta 90.00
_cell_angle_gamma 90.00
_space_group_name_H-M_alt 'P 4/m m m'
_space_group_IT_number 123
_space_group_name_Hall '-P 4 2'
loop_
_atom_site_label
_atom_site_fract_x
_atom_site_fract_y
_atom_site_fract_z
Hf1 0.0000 0.0000 0.0000
Ru1 0.5000 0.5000 0.5000
I1 0.0000 0.0000 0.5000
O1 0.0000 0.5000 0.0000
```

Energies in meV per atom, measured from the most stable structure: entry A 1120; entry B 0.